HfMo2OsI PBE optimized geometry; formation energy without anion corrections = 1.2523 eV per atom
1.0
-2.238 -0.536 4.269
-0.409 -4.984 -0.840
4.284 -0.715 2.157
Hf I Os Mo
1 1 1 2
direct
0.000 0.500 0.000
0.500 0.500 0.500
0.000 0.000 0.000
0.000 0.000 0.500
0.500 0.000 0.000